# ZrAl3Bi | Alexandria | PBE-GGA | optimized geometry
# ΔH_f (0 K), eV per atom: 1.290
# DOS at the Fermi energy, states/eV per cell: 5.9
data_ZrAl3Bi
_cell_length_a 5.2845
_cell_length_b 5.2845
_cell_length_c 5.2845
_cell_angle_alpha 90.00
_cell_angle_beta 90.00
_cell_angle_gamma 90.00
_symmetry_space_group_name_H-M 'P 1'
_symmetry_Int_Tables_number 1
_symmetry_space_group_name_Hall 'P 1'
loop_
_atom_site_label
_atom_site_type_symbol
_atom_site_fract_x
_atom_site_fract_y
_atom_site_fract_z
Zr1 Zr 0.0000 0.0000 0.0000
Al1 Al 0.0000 0.5000 0.5000
Al2 Al 0.5000 0.0000 0.5000
Al3 Al 0.5000 0.5000 0.0000
Bi1 Bi 0.5000 0.5000 0.5000